No. 1
## AcEuGeIr (PBE-GGA)

Data for a relaxed structure of AcEuGeIr.

It has space group F-43m (No. 216), with a = 7.438 Å, b = 7.438 Å, c = 7.438 Å, α = 90.00°, β = 90.00° and γ = 90.00°. The inequivalent atoms are Ac at (0.000, 0.000, 0.000), Eu at (0.000, 0.000, 0.500), Ge at (0.250, 0.250, 0.750) and Ir at (0.250, 0.250, 0.250).

For the final energy, the calculation gives -7.36 eV per atom. The mass density is 10.39 g/cm³. Its total magnetization is 26.9 μB/cell. The formation energy comes out at -0.3950 eV per atom.

No. 2
## PmCoSiH (PBE-GGA)

Data for a relaxed structure of PmCoSiH.

It has space group P4/nmm (No. 129, origin choice 2), with a = 3.887 Å, b = 3.887 Å, c = 7.738 Å, α = 90.00°, β = 90.00° and γ = 90.00°. The inequivalent atoms are Pm at (0.250, 0.250, 0.170), Co at (0.250, 0.750, 0.500), Si at (0.250, 0.250, 0.652) and H at (0.250, 0.750, 0.000).

For the final energy, the calculation gives -5.89 eV per atom. The mass density is 6.62 g/cm³. Its total magnetization is 0.0 μB/cell.

No. 3
## CaTbPS (PBE-GGA)

Data for a relaxed structure of CaTbPS.

It has space group R3m (No. 160, hexagonal axes), with a = 4.0490 Å, b = 4.0490 Å, c = 19.9464 Å, α = 90.00°, β = 90.00° and γ = 120.00°. The inequivalent atoms are Ca at (0.0000, 0.0000, 0.0000), Tb at (0.0000, 0.0000, 0.4944), P at (0.0000, 0.0000, 0.7522) and S at (0.0000, 0.0000, 0.2458).

For the final energy, the calculation gives -5.84 eV per atom. The mass density is 4.61 g/cm³. Its total magnetization is 0.0 μB/cell.